Below is a geometry-optimized CaTaAg structure, with properties calculated at the PBE level.

a = 4.7884 Å, b = 4.7884 Å, c = 12.0273 Å
α = 90.00°, β = 90.00°, γ = 120.00°
Fractional coordinates of all 6 atoms:
Ca 0.0000 0.0000 0.2500
Ca 0.0000 0.0000 0.7500
Ta 0.0000 0.0000 0.0000
Ta 0.0000 0.0000 0.5000
Ag 0.3333 0.6667 0.2500
Ag 0.6667 0.3333 0.7500

Results
Magnetic moment, μB per formula unit: 3.99
Relative energy among the computed polymorphs, meV/atom: 2251
Electronic total energy, eV per atom: -3.194
ΔH_f (0 K), kJ/mol of formula units: 687
Density of states at the Fermi level, states/eV per cell: 3.94